# 1
First-principles (PBEsol) data for crystalline TaCoRu2 at its relaxed geometry, as listed in Alexandria via LeMat-Bulk.

Computed properties:
Its formation energy is 0.10 eV/atom. Its raw total energy is -0.370 Ha/atom. Its crystal system is monoclinic. The calculation puts the volume at 13.77 Å³ per atom. Its space-group type is P2/m.

abc: 2.6737 4.2907 4.8364
angles: 90.00 96.78 90.00
With the nearest neighbours (Å) after each atom.
Positions (direct):
Ru (0.7971, 0.0000, 0.7282)  2 Co 2.50, 5 Ru 2.56-2.72, 2 Ta 2.68
Ru (0.2029, 0.0000, 0.2718)  2 Co 2.50, 5 Ru 2.56-2.72, 2 Ta 2.68
Co (0.0000, 0.5000, 0.5000)  4 Ru 2.50, 2 Ta 2.62, 2 Co 2.67
Ta (0.5000, 0.5000, 0.0000)  4 Co 2.62-2.90, 2 Ta 2.67, 4 Ru 2.68

---

# 2
First-principles (PBEsol) data for crystalline Co2TcRu at its relaxed geometry, as listed in Alexandria via LeMat-Bulk.

Computed properties:
Its formation energy is 0.21 eV/atom. Its raw total energy is -0.331 Ha/atom. Its crystal system is tetragonal. The calculation puts the volume at 12.10 Å³ per atom. Its space-group type is P4mm.

abc: 2.8911 2.8911 5.7902
angles: 90.00 90.00 90.00
With the nearest neighbours (Å) after each atom.
Positions (direct):
Ru (0.0000, 0.0000, 0.4851)  5 Co 2.58-2.60, 4 Tc 2.61, 4 Ru 2.89
Co (0.0000, 0.0000, 0.0358)  4 Co 2.29
Co (0.5000, 0.5000, 0.2127)  4 Co 2.29
Tc (0.5000, 0.5000, 0.7664)  5 Co 2.57-2.58, 4 Ru 2.61

---

# 3
First-principles (PBEsol) data for crystalline Co4TcRu at its relaxed geometry, as listed in Alexandria via LeMat-Bulk.

Computed properties:
Its formation energy is 0.12 eV/atom. Its raw total energy is -0.316 Ha/atom. Its crystal system is cubic. The calculation puts the volume at 11.08 Å³ per atom. Its space-group type is F-43m.

abc: 4.5476 4.5476 4.5476
angles: 60.00 60.00 60.00
With the nearest neighbours (Å) after each atom.
Positions (direct):
Co (0.3753, 0.3753, 0.3753)  6 Co 2.27-2.28
Co (0.3753, 0.3753, 0.8741)  6 Co 2.27-2.28
Co (0.8741, 0.3753, 0.3753)  6 Co 2.27-2.28
Co (0.3753, 0.8741, 0.3753)  6 Co 2.27-2.28
Ru (0.7500, 0.7500, 0.7500)  12 Co 2.67, 4 Tc 2.78
Tc (0.0000, 0.0000, 0.0000)  12 Co 2.67, 4 Ru 2.78

---

# 4
First-principles (PBEsol) data for crystalline Co3TeRu at its relaxed geometry, as listed in Alexandria via LeMat-Bulk.

Computed properties:
The calculation puts the formation energy (no corrections) at 131 kJ per mole of atoms. Its raw total energy is -0.221 Ha/atom. Its crystal system is cubic. The calculation puts the volume at 16.60 Å³ per atom. Its space-group type is Pm-3m.

abc: 4.3621 4.3621 4.3621
angles: 90.00 90.00 90.00
With the nearest neighbours (Å) after each atom.
Positions (direct):
Ru (0.0000, 0.0000, 0.0000)  6 Co 2.18
Te (0.5000, 0.5000, 0.5000)  12 Co 3.08
Co (0.0000, 0.5000, 0.0000)  2 Ru 2.18
Co (0.0000, 0.0000, 0.5000)  2 Ru 2.18
Co (0.5000, 0.0000, 0.0000)  2 Ru 2.18

---

# 5
First-principles (PBEsol) data for crystalline CoTe2Ru at its relaxed geometry, as listed in Alexandria via LeMat-Bulk.

Computed properties:
The calculation puts the formation energy (no corrections) at 22 kJ per mole of atoms. Its raw total energy is -0.221 Ha/atom. Its crystal system is orthorhombic. The calculation puts the volume at 20.16 Å³ per atom. Its space-group type is Imm2.

abc: 3.1809 3.6676 7.3254
angles: 104.50 102.54 90.00
With the nearest neighbours (Å) after each atom.
Positions (direct):
Ru (0.3259, 0.8259, 0.6519)  2 Co 2.43
Te (0.9977, 0.9977, 0.9953)  4 Co 2.55
Te (0.7347, 0.2347, 0.4693)  4 Ru 2.74
Co (0.4417, 0.4417, 0.8835)  2 Ru 2.43, 4 Te 2.55

---

# 6
First-principles (PBEsol) data for crystalline Co2TeRu at its relaxed geometry, as listed in Alexandria via LeMat-Bulk.

Computed properties:
The calculation puts the formation energy (no corrections) at 36 kJ per mole of atoms. Its raw total energy is -0.254 Ha/atom. Its crystal system is tetragonal. The calculation puts the volume at 13.80 Å³ per atom. Its space-group type is P4mm.

abc: 3.1668 3.1668 5.5048
angles: 90.00 90.00 90.00
With the nearest neighbours (Å) after each atom.
Positions (direct):
Ru (0.0000, 0.0000, 0.4845)  5 Co 2.50-2.66, 4 Te 2.71
Te (0.5000, 0.5000, 0.7602)  5 Co 2.55-2.69, 4 Ru 2.71
Co (0.0000, 0.0000, 0.0310)  4 Co 2.48, 1 Ru 2.50, 4 Te 2.69
Co (0.5000, 0.5000, 0.2243)  4 Co 2.48, 1 Te 2.55, 4 Ru 2.66

---

# 7
First-principles (PBEsol) data for crystalline Co2TeRu at its relaxed geometry, as listed in Alexandria via LeMat-Bulk.

Computed properties:
The calculation puts the formation energy (no corrections) at 23 kJ per mole of atoms. Its raw total energy is -0.259 Ha/atom. Its crystal system is tetragonal. The calculation puts the volume at 13.18 Å³ per atom. Its space-group type is I-4m2.

abc: 3.8104 3.8104 4.5206
angles: 114.93 114.93 90.00
With the nearest neighbours (Å) after each atom.
Positions (direct):
Ru (0.5000, 0.5000, 0.0000)  8 Co 2.63-2.69, 4 Te 2.63
Te (0.2500, 0.7500, 0.5000)  8 Co 2.63-2.69, 4 Ru 2.63
Co (0.0000, 0.0000, 0.0000)  4 Co 2.63, 4 Te 2.63, 4 Ru 2.69
Co (0.7500, 0.2500, 0.5000)  4 Co 2.63, 4 Ru 2.63, 4 Te 2.69

---

# 8
First-principles (PBEsol) data for crystalline Ti3CoRu at its relaxed geometry, as listed in Alexandria via LeMat-Bulk.

Computed properties:
Its formation energy is 0.41 eV/atom. Its raw total energy is -0.300 Ha/atom. Its crystal system is cubic. The calculation puts the volume at 16.26 Å³ per atom. Its space-group type is Pm-3m.

abc: 4.3323 4.3323 4.3323
angles: 90.00 90.00 90.00
With the nearest neighbours (Å) after each atom.
Positions (direct):
Ru (0.5000, 0.5000, 0.5000)  12 Ti 3.06
Co (0.0000, 0.0000, 0.0000)  6 Ti 2.17
Ti (0.0000, 0.5000, 0.0000)  2 Co 2.17
Ti (0.0000, 0.0000, 0.5000)  2 Co 2.17
Ti (0.5000, 0.0000, 0.0000)  2 Co 2.17

---

# 9
First-principles (PBEsol) data for crystalline TlCoRu at its relaxed geometry, as listed in Alexandria via LeMat-Bulk.

Computed properties:
Its formation energy is 0.68 eV/atom. Its raw total energy is -0.227 Ha/atom. Its crystal system is trigonal. The calculation puts the volume at 15.24 Å³ per atom. Its space-group type is P3m1.

abc: 2.8712 2.8712 6.4048
angles: 90.00 90.00 120.00
With the nearest neighbours (Å) after each atom.
Positions (direct):
Ru (0.3333, 0.6667, 0.6969)  3 Co 2.45
Tl (0.6667, 0.3333, 0.3242)  3 Co 2.76, 6 Tl 2.87, 3 Ru 2.91
Co (0.0000, 0.0000, 0.9788)  3 Ru 2.45

---

# 10
First-principles (PBEsol) data for crystalline TlCoRu2 at its relaxed geometry, as listed in Alexandria via LeMat-Bulk.

Computed properties:
The relative energy among the computed polymorphs comes out at 2.13 kcal/mol of atoms. Its formation energy is 0.75 eV/atom. Its raw total energy is -0.255 Ha/atom. Its crystal system is monoclinic. The calculation puts the volume at 14.87 Å³ per atom. Its space-group type is C2/m.

abc: 2.7758 4.7064 5.2860
angles: 115.67 104.02 92.61
With the nearest neighbours (Å) after each atom.
Positions (direct):
Co (0.0000, 0.5000, 0.0000)  4 Ru 2.67, 4 Tl 2.68-2.79, 2 Co 2.78
Ru (0.0000, 0.0000, 0.5000)  2 Co 2.67, 2 Tl 2.67, 6 Ru 2.68-2.79
Ru (0.5000, 0.5000, 0.5000)  2 Tl 2.67, 2 Co 2.67, 6 Ru 2.68-2.79
Tl (0.5000, 0.0000, 0.0000)  4 Ru 2.67, 4 Co 2.68-2.79, 2 Tl 2.78

---

# 11
First-principles (PBEsol) data for crystalline TlCo3Ru at its relaxed geometry, as listed in Alexandria via LeMat-Bulk.

Computed properties:
Its formation energy is 2.31 eV/atom. Its raw total energy is -0.180 Ha/atom. Its crystal system is cubic. The calculation puts the volume at 19.16 Å³ per atom. Its space-group type is Pm-3m.

abc: 4.5754 4.5754 4.5754
angles: 90.00 90.00 90.00
With the nearest neighbours (Å) after each atom.
Positions (direct):
Ru (0.5000, 0.5000, 0.5000)  12 Co 3.24
Tl (0.0000, 0.0000, 0.0000)  6 Co 2.29
Co (0.0000, 0.5000, 0.0000)  2 Tl 2.29
Co (0.0000, 0.0000, 0.5000)  2 Tl 2.29
Co (0.5000, 0.0000, 0.0000)  2 Tl 2.29

---

# 12
First-principles (PBEsol) data for crystalline TlCoRu2 at its relaxed geometry, as listed in Alexandria via LeMat-Bulk.

Computed properties:
The relative energy among the computed polymorphs comes out at 0.00 kcal/mol of atoms. Its formation energy is 0.65 eV/atom. Its raw total energy is -0.258 Ha/atom. Its crystal system is trigonal. The calculation puts the volume at 14.76 Å³ per atom. Its space-group type is R-3m.

abc: 2.8165 2.8165 8.7486
angles: 80.74 80.74 60.00
With the nearest neighbours (Å) after each atom.
Positions (direct):
Co (0.0000, 0.0000, 0.0000)  6 Ru 2.51
Ru (0.2591, 0.2591, 0.2226)  3 Co 2.51
Ru (0.7409, 0.7409, 0.7774)  3 Co 2.51
Tl (0.5000, 0.5000, 0.5000)  6 Tl 2.82, 6 Ru 2.89